Entry from the Alexandria database: a geometry-optimized La2PrNd5Y structure (PBE).

Values from the calculation:
Energy of formation from the pure elements in eV per atom: 0.24
Symmetry: I4/mcm
Crystal system: tetragonal
Size of the total moment in μB per atom: 0.000
Electronic total energy in eV per formula unit: -42.76

a b c (Å): 10.3055 10.3055 10.3055
angles (deg): 129.07 129.07 74.89
Fractional coordinates of all 18 atoms:
La  0.1187  0.6187  0.7375
La  0.3813  0.1187  0.5000
La  0.6187  0.8813  0.5000
La  0.8813  0.3813  0.2625
Pr  0.2500  0.2500  0.0000
Pr  0.7500  0.7500  0.0000
Nd  0.0000  0.0000  0.0000
Nd  0.0766  0.1399  0.5000
Nd  0.1399  0.6399  0.0634
Nd  0.3601  0.4234  0.5000
Nd  0.4234  0.9234  0.0634
Nd  0.5000  0.5000  0.0000
Nd  0.5766  0.0766  0.9366
Nd  0.6399  0.5766  0.5000
Nd  0.8601  0.3601  0.9366
Nd  0.9234  0.8601  0.5000
Y  0.2500  0.7500  0.5000
Y  0.7500  0.2500  0.5000